(1)
An optimized crystal structure of BeZn2IrOs, computed with PBE.

It has space group P4/mmm (No. 123), with a = 4.719 Å, b = 4.719 Å, c = 4.756 Å, α = 90.00°, β = 90.00° and γ = 90.00°. The asymmetric unit holds Be at (0.000, 0.000, 0.000), Zn at (0.000, 0.500, 0.500), Ir at (0.500, 0.500, 0.000) and Os at (0.500, 0.500, 0.500).

The value obtained for the total magnetization is 0.000 μB per atom. For the volume, the calculation gives 21.18 A^3/atom. Its formation energy is 1.37 eV/atom. The total energy comes out at -3.90 eV/atom.

***

(2)
An optimized crystal structure of CoTc2Au, computed with PBE.

It has space group Pmmm (No. 47), with a = 2.737 Å, b = 3.907 Å, c = 5.443 Å, α = 90.00°, β = 90.00° and γ = 90.00°. The asymmetric unit holds Co at (0.000, 0.000, 0.000), Tc at (0.500, 0.500, 0.213) and Au at (0.000, 0.000, 0.500).

The value obtained for the total magnetization is 0.305 μB per atom. For the volume, the calculation gives 14.55 A^3/atom. Its formation energy is 0.24 eV/atom. The total energy comes out at -7.54 eV/atom.

***

(3)
An optimized crystal structure of PdCNO2, computed with PBE.

It has space group P4/mmm (No. 123), with a = 4.288 Å, b = 4.288 Å, c = 2.510 Å, α = 90.00°, β = 90.00° and γ = 90.00°. The asymmetric unit holds Pd at (0.000, 0.000, 0.000), C at (0.500, 0.500, 0.500), N at (0.500, 0.500, 0.000) and O at (0.000, 0.500, 0.500).

The value obtained for the total magnetization is 0.000 μB per atom. For the volume, the calculation gives 9.23 A^3/atom. The total energy comes out at -5.43 eV/atom. Its uncorrected formation energy is 1.105 eV per atom.